The following is a DFT calculation (GGA-PBEsol) of an optimized crystal structure of NiPS3.

Cell: 5.7062 5.7154 6.4670 Å, 81.63 73.04 60.05°
Closest atoms and distances in Å follow each position.
Fractional coordinates of all 10 atoms:
Ni (0.6664, 0.6671, 0.0000)  6 S 2.34-2.36
Ni (0.3336, 0.3329, 0.0000)  6 S 2.34-2.36
S (0.7265, 0.0000, 0.7645)  1 P 2.04
S (0.5693, 0.3521, 0.2339)  1 P 2.04
S (0.9213, 0.6479, 0.2339)  1 P 2.04
S (0.0787, 0.3521, 0.7661)  1 P 2.04
S (0.4307, 0.6479, 0.7661)  1 P 2.04
S (0.2735, 0.0000, 0.2355)  1 P 2.04
P (0.0599, 0.0000, 0.8227)  3 S 2.04, 1 P 2.19
P (0.9401, 0.0000, 0.1773)  3 S 2.04, 1 P 2.19

Output
- Total DFT energy (no corrections): -5.271 eV/atom
- Formation energy without anion corrections: -0.2507 eV/atom

=====

The following is a DFT calculation (GGA-PBEsol) of an optimized crystal structure of NiPS.

Cell: 5.4609 5.4609 5.4609 Å, 90.00 90.00 90.00°
Closest atoms and distances in Å follow each position.
Fractional coordinates of all 12 atoms:
P (0.3853, 0.1147, 0.8853)  1 S 2.16, 3 Ni 2.27
P (0.8853, 0.3853, 0.1147)  1 S 2.16, 3 Ni 2.27
Ni (0.9967, 0.5033, 0.4967)  3 P 2.27, 3 S 2.30
Ni (0.0033, 0.0033, 0.0033)  3 P 2.27, 3 S 2.30
P (0.1147, 0.8853, 0.3853)  1 S 2.16, 3 Ni 2.27
S (0.1134, 0.6134, 0.8866)  1 P 2.16, 3 Ni 2.30
S (0.3866, 0.3866, 0.3866)  1 P 2.16, 3 Ni 2.30
Ni (0.4967, 0.9967, 0.5033)  3 P 2.27, 3 S 2.30
S (0.8866, 0.1134, 0.6134)  1 P 2.16, 3 Ni 2.30
P (0.6147, 0.6147, 0.6147)  1 S 2.16, 3 Ni 2.27
S (0.6134, 0.8866, 0.1134)  1 P 2.16, 3 Ni 2.30
Ni (0.5033, 0.4967, 0.9967)  3 P 2.27, 3 S 2.30

Output
- Total DFT energy (no corrections): -5.906 eV/atom
- Formation energy without anion corrections: -0.4614 eV/atom

=====

The following is a DFT calculation (GGA-PBEsol) of an optimized crystal structure of NiTePS2.

Cell: 4.3217 4.4710 4.4710 Å, 90.00 90.00 90.00°
Closest atoms and distances in Å follow each position.
Fractional coordinates of all 5 atoms:
S (0.0000, 0.0000, 0.5000)  2 Ni 2.24
S (0.0000, 0.5000, 0.0000)  2 Ni 2.24
Ni (0.0000, 0.0000, 0.0000)  2 P 2.16, 4 S 2.24
P (0.5000, 0.0000, 0.0000)  2 Ni 2.16
Te (0.5000, 0.5000, 0.5000)  8 S 3.11, 4 P 3.16

Output
- Total DFT energy (no corrections): -4.552 eV/atom
- Formation energy without anion corrections: 0.2963 eV/atom
- Energy above the lowest structure with this stoichiometry: 0 meV/atom

=====

- Which value of total DFT energy (no corrections) does entry 3 give?
  -4.552 eV/atom

=====

- Which of these has the highest total DFT energy (no corrections)?
  NiTePS2

=====

- Number 2 is which compound?
  NiPS

=====

- The highest formation energy without anion corrections belongs to which entry?
  NiTePS2